1.
## MgPdW (PBE-GGA)

Data for crystalline MgPdW at its relaxed geometry.

## Properties
The theoretical density comes out at 10.59 g/cm3. Its energy above the most stable polymorph in this dataset is 0.2149 eV/atom.

Lattice parameters (Å, degrees): 4.949 4.700 8.483 90.00 90.00 90.00
Fractional coordinates of all 12 atoms:
Mg  0.838  0.250  0.463
Mg  0.662  0.750  0.963
Mg  0.162  0.750  0.537
Mg  0.338  0.250  0.037
Pd  0.335  0.250  0.360
Pd  0.165  0.750  0.860
Pd  0.665  0.750  0.640
Pd  0.835  0.250  0.140
W  0.898  0.250  0.796
W  0.602  0.750  0.296
W  0.102  0.750  0.204
W  0.398  0.250  0.704



2.
## MgPdW (PBE-GGA)

Data for crystalline MgPdW at its relaxed geometry.

## Properties
The theoretical density comes out at 10.63 g/cm3. Its energy above the most stable polymorph in this dataset is 0.0000 eV/atom.

Lattice parameters (Å, degrees): 5.379 3.085 7.391 77.98 83.18 55.04
Fractional coordinates of all 6 atoms:
Mg  0.633  0.545  0.550
Mg  0.134  0.884  0.867
Pd  0.132  0.554  0.534
Pd  0.635  0.876  0.883
W  0.635  0.222  0.191
W  0.134  0.206  0.226



3.
## MgPdW (PBE-GGA)

Data for crystalline MgPdW at its relaxed geometry.

## Properties
The theoretical density comes out at 10.20 g/cm3. Its energy above the most stable polymorph in this dataset is 0.1912 eV/atom.

Lattice parameters (Å, degrees): 5.481 3.061 7.255 77.86 110.91 73.75
Fractional coordinates of all 6 atoms:
Mg  0.823  0.832  0.553
Mg  0.375  0.929  0.809
Pd  0.420  0.239  0.143
Pd  0.366  0.590  0.494
W  0.914  0.456  0.216
W  0.909  0.095  0.943



| no. | calculated formation energy (meV/atom) |
| --- | --- |
| 1 | 93.4 |
| 2 | -121.5 |
| 3 | 69.7 |